# GaHCBr2 PBE-GGA relaxed
# **Electronic total energy**: -13.47 eV/f.u.
# **Total moment**: 1.09 μB per formula unit
data_GaHCBr2
_space_group_name_H-M_alt 'P 4/m m m'
_space_group_IT_number 123
_space_group_name_Hall '-P 4 2'
_cell_length_a 5.679
_cell_length_b 5.679
_cell_length_c 2.922
_cell_angle_alpha 90.00
_cell_angle_beta 90.00
_cell_angle_gamma 90.00
loop_
_atom_site_label
_atom_site_fract_x
_atom_site_fract_y
_atom_site_fract_z
Ga1 0.000 0.000 0.000
H1 0.500 0.500 0.500
C1 0.500 0.500 0.000
Br1 0.000 0.500 0.500